Entry 1:
Below is a relaxed CsGdNiSe3 crystal, with properties calculated at the PBE level.

Properties
* crystal system: orthorhombic
* polymorph energy (0 for the lowest one): 0.015 eV/atom
* space group: No. 63

a = 8.3081 Å, b = 8.3081 Å, c = 10.9136 Å
α = 90.00°, β = 90.00°, γ = 151.23°
With the nearest neighbours (Å) after each atom.
Element x y z (fractional)
Cs1 0.2436 0.7564 0.7500  8 Se 3.64-4.03
Cs2 0.7564 0.2436 0.2500  8 Se 3.64-4.03
Gd1 0.5000 0.5000 0.0000  6 Se 2.85-2.88
Gd2 0.5000 0.5000 0.5000  6 Se 2.85-2.88
Ni1 0.0322 0.9678 0.2500  4 Se 2.40-2.46
Ni2 0.9678 0.0322 0.7500  4 Se 2.40-2.46
Se1 0.1163 0.8837 0.0684  1 Ni 2.40
Se2 0.1163 0.8837 0.4316  1 Ni 2.40
Se3 0.4493 0.5507 0.2500  2 Ni 2.46
Se4 0.5507 0.4493 0.7500  2 Ni 2.46
Se5 0.8837 0.1163 0.5684  1 Ni 2.40
Se6 0.8837 0.1163 0.9316  1 Ni 2.40

Entry 2:
Below is a relaxed ReAgAu2 crystal, with properties calculated at the PBE level.

Properties
* crystal system: cubic
* space group: No. 216
* ΔE_f: 756.9 meV per atom

a = 4.6019 Å, b = 4.6019 Å, c = 4.6019 Å
α = 60.00°, β = 60.00°, γ = 60.00°
With the nearest neighbours (Å) after each atom.
Element x y z (fractional)
Re1 0.0000 0.0000 0.0000  4 Ag 2.82, 4 Au 2.82
Ag1 0.2500 0.2500 0.2500  4 Re 2.82, 4 Au 2.82
Au1 0.5000 0.5000 0.5000  4 Au 2.82, 4 Ag 2.82
Au2 0.7500 0.7500 0.7500  4 Au 2.82, 4 Re 2.82

Entry 3:
Below is a relaxed AlFeTcNi crystal, with properties calculated at the PBE level.

Properties
* crystal system: cubic
* polymorph energy (0 for the lowest one): 0.129 eV/atom
* space group: No. 216

a = 4.1432 Å, b = 4.1432 Å, c = 4.1432 Å
α = 60.00°, β = 60.00°, γ = 60.00°
With the nearest neighbours (Å) after each atom.
Element x y z (fractional)
Al1 0.0000 0.0000 0.0000  4 Tc 2.54, 4 Fe 2.54
Fe1 0.2500 0.2500 0.2500  4 Ni 2.54, 4 Al 2.54
Tc1 0.7500 0.7500 0.7500  4 Ni 2.54, 4 Al 2.54
Ni1 0.5000 0.5000 0.5000  4 Tc 2.54, 4 Fe 2.54

Entry 4:
Below is a relaxed HoPuSb crystal, with properties calculated at the PBE level.

Properties
* crystal system: cubic
* space group: No. 216
* calculated total energy: -23.9 eV/cell

a = 5.1472 Å, b = 5.1472 Å, c = 5.1472 Å
α = 60.00°, β = 60.00°, γ = 60.00°
With the nearest neighbours (Å) after each atom.
Element x y z (fractional)
Ho1 0.0000 0.0000 0.0000  4 Sb 3.15
Pu1 0.5000 0.5000 0.5000  4 Sb 3.15
Sb1 0.2500 0.2500 0.2500  4 Ho 3.15, 4 Pu 3.15

Entry 5:
Below is a relaxed SrAcTb crystal, with properties calculated at the PBE level.

Properties
* crystal system: cubic
* space group: No. 216
* calculated total energy: -7.9 eV/cell

a = 6.0110 Å, b = 6.0110 Å, c = 6.0110 Å
α = 60.00°, β = 60.00°, γ = 60.00°
With the nearest neighbours (Å) after each atom.
Element x y z (fractional)
Sr1 0.0000 0.0000 0.0000  4 Ac 3.68
Ac1 0.2500 0.2500 0.2500  4 Tb 3.68, 4 Sr 3.68
Tb1 0.5000 0.5000 0.5000  4 Ac 3.68

Entry 6:
Below is a relaxed Ta11W2 crystal, with properties calculated at the PBE level.

Properties
* crystal system: trigonal
* polymorph energy (0 for the lowest one): 0.079 eV/atom
* space group: No. 166
* ΔE_f: 225.8 meV per atom

a = 9.9578 Å, b = 9.9578 Å, c = 9.9578 Å
α = 31.53°, β = 31.53°, γ = 31.53°
With the nearest neighbours (Å) after each atom.
Element x y z (fractional)
Ta1 0.0000 0.0000 0.0000  6 Ta 2.68
Ta2 0.0923 0.0923 0.5869  8 Ta 2.68-2.98
Ta3 0.0923 0.5869 0.0923  8 Ta 2.68-2.98
Ta4 0.1672 0.1672 0.1672  9 Ta 2.98-3.12
Ta5 0.4131 0.9077 0.9077  8 Ta 2.68-2.98
Ta6 0.4538 0.4538 0.4538  1 Ta 2.62, 1 W 2.87
Ta7 0.5462 0.5462 0.5462  1 Ta 2.62, 1 W 2.87
Ta8 0.5869 0.0923 0.0923  8 Ta 2.68-2.98
Ta9 0.8328 0.8328 0.8328  9 Ta 2.98-3.12
Ta10 0.9077 0.4131 0.9077  8 Ta 2.68-2.98
Ta11 0.9077 0.9077 0.4131  8 Ta 2.68-2.98
W1 0.3525 0.3525 0.3525  13 Ta 2.87-3.17
W2 0.6475 0.6475 0.6475  13 Ta 2.87-3.17